[1]
# SCAN SrSe2Cl, single point on PBEsol structure
data_SrSe2Cl
_space_group_name_H-M_alt 'I 4/m m m'
_space_group_IT_number 139
_space_group_name_Hall '-I 4 2'
_cell_length_a 4.0005
_cell_length_b 4.0005
_cell_length_c 11.5878
_cell_angle_alpha 90.00
_cell_angle_beta 90.00
_cell_angle_gamma 90.00
loop_
_atom_site_label
_atom_site_fract_x
_atom_site_fract_y
_atom_site_fract_z
Sr1 0.0000 0.0000 0.0000
Se1 0.0000 0.5000 0.2500
Cl1 0.0000 0.0000 0.5000
# DFT total energy in eV per atom: -19.0453
# Density of states at the Fermi level in states/eV/atom: 0.23
# Polymorph energy (0 for the lowest one) in eV/atom: 0.0000
# Uncorrected formation energy in meV/atom: -1443

***

[2]
# SCAN CdHg4Te, single point on PBEsol structure
data_CdHg4Te
_space_group_name_H-M_alt 'F -4 3 m'
_space_group_IT_number 216
_space_group_name_Hall 'F -4 2 3'
_cell_length_a 8.4391
_cell_length_b 8.4391
_cell_length_c 8.4391
_cell_angle_alpha 90.00
_cell_angle_beta 90.00
_cell_angle_gamma 90.00
loop_
_atom_site_label
_atom_site_fract_x
_atom_site_fract_y
_atom_site_fract_z
Cd1 0.0000 0.0000 0.0000
Hg1 0.1253 0.1253 0.3747
Te1 0.2500 0.2500 0.7500
# DFT total energy in eV per atom: -56.4721
# Density of states at the Fermi level in states/eV/atom: 0.60
# Uncorrected formation energy in meV/atom: 249

***

[3]
# SCAN CoSb3, single point on PBEsol structure
data_CoSb3
_space_group_name_H-M_alt 'I m -3'
_space_group_IT_number 204
_space_group_name_Hall '-I 2 2 3'
_cell_length_a 8.9828
_cell_length_b 8.9828
_cell_length_c 8.9828
_cell_angle_alpha 90.00
_cell_angle_beta 90.00
_cell_angle_gamma 90.00
loop_
_atom_site_label
_atom_site_fract_x
_atom_site_fract_y
_atom_site_fract_z
Co1 0.2500 0.2500 0.2500
Sb1 0.0000 0.1601 0.3330
# DFT total energy in eV per atom: -32.4419
# Polymorph energy (0 for the lowest one) in eV/atom: 0.0000
# Uncorrected formation energy in meV/atom: -170

***

[4]
# SCAN Zr2CrAg, single point on PBEsol structure
data_Zr2CrAg
_space_group_name_H-M_alt 'P 4 m m'
_space_group_IT_number 99
_cell_length_a 3.2744
_cell_length_b 3.2744
_cell_length_c 6.9002
_cell_angle_alpha 90.00
_cell_angle_beta 90.00
_cell_angle_gamma 90.00
loop_
_space_group_symop_operation_xyz
'x,y,z'
'-y,x,z'
'-x,-y,z'
'y,-x,z'
'-x,y,z'
'y,x,z'
'x,-y,z'
'-y,-x,z'
loop_
_atom_site_label
_atom_site_fract_x
_atom_site_fract_y
_atom_site_fract_z
Zr1 0.0000 0.0000 0.0000
Zr2 0.5000 0.5000 0.2915
Cr1 0.5000 0.5000 0.7706
Ag1 0.0000 0.0000 0.5509
# DFT total energy in eV per atom: -27.7018
# Formation energy from the elements in meV per atom: 86
# Density of states at the Fermi level in states/eV/atom: 0.86
# Polymorph energy (0 for the lowest one) in eV/atom: 0.0000

***

> Among the records above, which one has the highest DFT total energy?

SrSe2Cl